A relaxed Dy2YEr6Tm3 crystal, computed with PBE-GGA.

POSCAR file:
```
Dy2YEr6Tm3
1.0
6.0818 0.0034 0.0052
-3.0365 5.2695 0.0052
-1.0210 -1.7679 11.4644
Dy Y Er Tm
2 1 6 3
Direct
0.3333 0.6667 0.0000
0.6667 0.3333 0.0000
0.0000 0.0000 0.0000
0.9156 0.5816 0.7482
0.7505 0.7505 0.2518
0.0844 0.4184 0.2518
0.5816 0.9156 0.7482
0.2495 0.2495 0.7482
0.4184 0.0844 0.2518
0.1666 0.8334 0.5000
0.8334 0.1666 0.5000
0.5000 0.5000 0.5000
```

Calculated values
Crystal system: monoclinic
Electronic total energy in eV per atom: -4.68

---

A relaxed DyY5ErTm2 crystal, computed with PBE-GGA.

POSCAR file:
```
DyY5ErTm2
1.0
-0.5871 -5.5364 0.2531
9.7496 1.9027 2.8740
-3.1085 0.7879 10.0235
Dy Y Er Tm
2 10 2 4
Direct
0.8035 0.6070 0.5130
0.1965 0.3930 0.0130
0.3860 0.7720 0.0233
0.7211 0.4421 0.8146
0.4797 0.9595 0.7380
0.3004 0.6008 0.7055
0.9831 0.9662 0.5218
0.6140 0.2280 0.5233
0.2789 0.5579 0.3146
0.5203 0.0405 0.2380
0.6996 0.3992 0.2055
0.0169 0.0338 0.0218
0.5877 0.1755 0.9538
0.4123 0.8245 0.4538
0.8879 0.7757 0.8150
0.1100 0.2200 0.7388
0.1121 0.2243 0.3150
0.8900 0.7800 0.2388
```

Calculated values
Crystal system: orthorhombic
Electronic total energy in eV per atom: -5.44